[1]
The following is a SCAN calculation of a PBEsol-optimized structure of TcPbAu2, from Alexandria via LeMat-Bulk.

The structure in POSCAR format:
```
TcPbAu2
1.0
-1.286 4.324 1.144
-1.185 0.991 4.390
2.792 2.641 2.625
Tc Au Pb
1 2 1
direct
0.250 0.250 0.250
0.750 0.750 0.750
0.000 0.000 0.000
0.500 0.500 0.500
```

Values from the calculation:
DOS at the Fermi energy in states/eV per atom: 0.771
Magnetic moment in μB/atom: 0.52
Theoretical density in g/cm3: 16.29
Space-group type: F-43m, No. 216
Formation energy in eV per atom: 0.54
Calculated total energy in eV per atom: -61.753

***

[2]
The following is a SCAN calculation of a PBEsol-optimized structure of TaBePb2, from Alexandria via LeMat-Bulk.

The structure in POSCAR format:
```
TaBePb2
1.0
3.128 0.000 0.000
1.564 2.709 0.000
1.564 0.903 10.242
Be Ta Pb
1 1 2
direct
0.242 0.242 0.275
0.513 0.513 0.461
0.982 0.982 0.054
0.763 0.763 0.710
```

Values from the calculation:
DOS at the Fermi energy in states/eV per atom: 0.707
Magnetic moment in μB/atom: 0.00
Theoretical density in g/cm3: 11.56
Space-group type: R3m, No. 160
Formation energy in eV per atom: 0.56
Calculated total energy in eV per atom: -55.060

***

[3]
The following is a SCAN calculation of a PBEsol-optimized structure of BaLiN2, from Alexandria via LeMat-Bulk.

The structure in POSCAR format:
```
BaLiN2
1.0
-2.006 0.451 3.975
-3.150 -2.918 1.261
0.845 -2.927 3.278
N Ba Li
2 1 1
direct
0.750 0.750 0.750
0.250 0.250 0.250
0.500 0.500 0.500
0.000 0.000 0.000
```

Values from the calculation:
DOS at the Fermi energy in states/eV per atom: 0.314
Magnetic moment in μB/atom: 0.75
Theoretical density in g/cm3: 4.51
ΔE_f (raw) in eV per atom: 0.4903
Space-group type: Fm-3m, No. 225
Calculated total energy in eV per atom: -14.640

***

[4]
The following is a SCAN calculation of a PBEsol-optimized structure of Mg2SbRh, from Alexandria via LeMat-Bulk.

The structure in POSCAR format:
```
Mg2SbRh
1.0
4.184 0.000 0.000
0.000 4.184 0.000
-2.092 -2.092 4.069
Rh Mg Sb
1 2 1
direct
0.500 0.500 0.000
0.000 0.000 0.000
0.750 0.250 0.500
0.250 0.750 0.500
```

Values from the calculation:
DOS at the Fermi energy in states/eV per atom: 0.219
Magnetic moment in μB/atom: 0.00
Theoretical density in g/cm3: 6.37
ΔE_f (raw) in eV per atom: -0.3996
Space-group type: I-4m2, No. 119
Calculated total energy in eV per atom: -20.645

***

[5]
The following is a SCAN calculation of a PBEsol-optimized structure of ZnTcAs4, from Alexandria via LeMat-Bulk.

The structure in POSCAR format:
```
ZnTcAs4
1.0
-4.669 -2.566 -0.167
-0.214 -5.216 1.077
-2.270 -1.698 4.514
Tc As Zn
1 4 1
direct
0.750 0.750 0.750
0.375 0.375 0.876
0.375 0.375 0.375
0.876 0.375 0.375
0.375 0.876 0.375
0.000 0.000 0.000
```

Values from the calculation:
DOS at the Fermi energy in states/eV per atom: 0.532
Magnetic moment in μB/atom: 0.49
Theoretical density in g/cm3: 7.18
Space-group type: F-43m, No. 216
Formation energy in eV per atom: 0.81
Calculated total energy in eV per atom: -20.744

***

[6]
The following is a SCAN calculation of a PBEsol-optimized structure of ZnCdO2, from Alexandria via LeMat-Bulk.

The structure in POSCAR format:
```
ZnCdO2
1.0
4.860 0.000 0.000
0.000 4.860 0.000
-2.430 -2.430 4.693
O Cd Zn
4 2 2
direct
0.125 0.165 0.750
0.835 0.375 0.250
0.415 0.875 0.250
0.625 0.585 0.750
0.250 0.750 0.500
0.000 0.000 0.000
0.750 0.250 0.500
0.500 0.500 0.000
```

Values from the calculation:
DOS at the Fermi energy in states/eV per atom: 0.016
Magnetic moment in μB/atom: 0.00
Theoretical density in g/cm3: 6.29
ΔE_f (raw) in eV per atom: -1.3674
Space-group type: I-42d, No. 122
Calculated total energy in eV per atom: -15.465

***

[7]
The following is a SCAN calculation of a PBEsol-optimized structure of CrRu2Au, from Alexandria via LeMat-Bulk.

The structure in POSCAR format:
```
CrRu2Au
1.0
-2.766 0.636 -0.436
0.467 -0.952 -4.355
-1.106 -4.255 0.811
Au Ru Cr
1 2 1
direct
0.500 0.500 0.000
0.500 0.000 0.500
0.000 0.000 0.000
0.000 0.500 0.500
```

Values from the calculation:
DOS at the Fermi energy in states/eV per atom: 0.987
Magnetic moment in μB/atom: 0.42
Theoretical density in g/cm3: 13.02
Relative energy among the computed polymorphs in meV/atom: 161.5
Space-group type: Pmmm, No. 47
Formation energy in eV per atom: 0.35
Calculated total energy in eV per atom: -38.952

***

[8]
The following is a SCAN calculation of a PBEsol-optimized structure of Cd2TeCl, from Alexandria via LeMat-Bulk.

The structure in POSCAR format:
```
Cd2TeCl
1.0
5.075 0.000 0.000
2.537 4.395 0.000
2.537 1.465 4.144
Te Cd Cl
1 2 1
direct
0.250 0.250 0.250
0.000 0.000 0.000
0.750 0.750 0.750
0.500 0.500 0.500
```

Values from the calculation:
DOS at the Fermi energy in states/eV per atom: 0.524
Magnetic moment in μB/atom: 0.00
Theoretical density in g/cm3: 6.97
Relative energy among the computed polymorphs in meV/atom: 218.5
ΔE_f (raw) in eV per atom: -0.0693
Space-group type: F-43m, No. 216
Calculated total energy in eV per atom: -26.584

***

[9]
The following is a SCAN calculation of a PBEsol-optimized structure of Pb3WO, from Alexandria via LeMat-Bulk.

The structure in POSCAR format:
```
Pb3WO
1.0
4.769 0.000 0.000
0.000 4.769 0.000
0.000 0.000 4.769
Pb W O
3 1 1
direct
0.000 0.500 0.000
0.500 0.000 0.000
0.000 0.000 0.500
0.500 0.500 0.500
0.000 0.000 0.000
```

Values from the calculation:
DOS at the Fermi energy in states/eV per atom: 0.530
Magnetic moment in μB/atom: 0.53
Theoretical density in g/cm3: 12.58
ΔE_f (raw) in eV per atom: 0.7064
Space-group type: Pm-3m, No. 221
Calculated total energy in eV per atom: -59.946

***

[10]
The following is a SCAN calculation of a PBEsol-optimized structure of MoSe2S, from Alexandria via LeMat-Bulk.

The structure in POSCAR format:
```
MoSe2S
1.0
3.351 0.000 0.000
1.676 2.902 0.000
1.676 0.967 8.025
Se S Mo
2 1 1
direct
0.098 0.098 0.705
0.902 0.902 0.295
0.000 0.000 0.000
0.500 0.500 0.500
```

Values from the calculation:
DOS at the Fermi energy in states/eV per atom: 0.460
Magnetic moment in μB/atom: 0.00
Theoretical density in g/cm3: 6.08
ΔE_f (raw) in eV per atom: 0.0855
Space-group type: R-3m, No. 166
Calculated total energy in eV per atom: -21.082

***

[11]
The following is a SCAN calculation of a PBEsol-optimized structure of FeSiP2, from Alexandria via LeMat-Bulk.

The structure in POSCAR format:
```
FeSiP2
1.0
-1.322 0.635 -2.292
1.307 -0.060 -2.386
-2.074 -7.502 -2.498
P Si Fe
2 1 1
direct
0.735 0.735 0.795
0.265 0.265 0.205
0.500 0.500 0.500
0.000 0.000 0.000
```

Values from the calculation:
DOS at the Fermi energy in states/eV per atom: 0.380
Magnetic moment in μB/atom: 0.31
Theoretical density in g/cm3: 4.71
ΔE_f (raw) in eV per atom: 0.2804
Space-group type: R-3m, No. 166
Calculated total energy in eV per atom: -11.955

***

[12]
The following is a SCAN calculation of a PBEsol-optimized structure of Li3CaCd, from Alexandria via LeMat-Bulk.

The structure in POSCAR format:
```
Li3CaCd
1.0
-1.400 0.232 -4.852
1.026 -4.921 -0.531
-4.747 -1.132 1.316
Li Ca Cd
3 1 1
direct
0.500 0.000 0.000
0.000 0.000 0.500
0.000 0.500 0.000
0.500 0.500 0.500
0.000 0.000 0.000
```

Values from the calculation:
DOS at the Fermi energy in states/eV per atom: 0.654
Magnetic moment in μB/atom: 0.00
Theoretical density in g/cm3: 2.23
Space-group type: Pm-3m, No. 221
Formation energy in eV per atom: -0.02
Calculated total energy in eV per atom: -9.467

***

[13]
The following is a SCAN calculation of a PBEsol-optimized structure of ScBeO2, from Alexandria via LeMat-Bulk.

The structure in POSCAR format:
```
ScBeO2
1.0
4.544 0.000 0.000
-2.272 4.497 -0.002
0.000 2.297 3.921
Be O Sc
2 4 2
direct
0.250 0.500 0.250
0.500 0.000 0.500
0.541 0.750 0.375
0.375 0.250 0.209
0.209 0.750 0.875
0.875 0.250 0.541
0.000 0.000 0.000
0.750 0.500 0.750
```

Values from the calculation:
DOS at the Fermi energy in states/eV per atom: 0.385
Magnetic moment in μB/atom: 0.25
Theoretical density in g/cm3: 3.56
ΔE_f (raw) in eV per atom: -2.6796
Space-group type: I-42d, No. 122
Calculated total energy in eV per atom: -10.443

***

[14]
The following is a SCAN calculation of a PBEsol-optimized structure of CuPbBr2, from Alexandria via LeMat-Bulk.

The structure in POSCAR format:
```
CuPbBr2
1.0
-0.573 1.521 3.211
0.370 -3.629 -0.232
8.495 0.793 1.139
Cu Br Pb
1 2 1
direct
0.500 0.000 0.500
0.000 0.000 0.696
0.000 0.000 0.304
0.500 0.000 0.000
```

Values from the calculation:
DOS at the Fermi energy in states/eV per atom: 0.248
Magnetic moment in μB/atom: 0.00
Theoretical density in g/cm3: 7.25
Relative energy among the computed polymorphs in meV/atom: 22.5
ΔE_f (raw) in eV per atom: -0.2746
Space-group type: Cmmm, No. 65
Calculated total energy in eV per atom: -32.749

***

[15]
The following is a SCAN calculation of a PBEsol-optimized structure of ZrMoOs, from Alexandria via LeMat-Bulk.

The structure in POSCAR format:
```
ZrMoOs
1.0
4.352 0.000 0.000
2.176 3.769 0.000
2.176 1.256 3.553
Mo Os Zr
1 1 1
direct
0.500 0.500 0.500
0.250 0.250 0.250
0.000 0.000 0.000
```

Values from the calculation:
DOS at the Fermi energy in states/eV per atom: 0.887
Magnetic moment in μB/atom: 0.00
Theoretical density in g/cm3: 10.75
Relative energy among the computed polymorphs in meV/atom: 0.0
Space-group type: F-43m, No. 216
Formation energy in eV per atom: 0.12
Calculated total energy in eV per atom: -45.699

***

[16]
The following is a SCAN calculation of a PBEsol-optimized structure of ZrCrTe2N, from Alexandria via LeMat-Bulk.

The structure in POSCAR format:
```
ZrCrTe2N
1.0
3.894 0.000 0.000
0.000 5.677 0.000
0.000 0.000 5.677
Te N Cr Zr
2 1 1 1
direct
0.000 0.000 0.500
0.000 0.500 0.000
0.500 0.000 0.000
0.500 0.500 0.500
0.000 0.000 0.000
```

Values from the calculation:
DOS at the Fermi energy in states/eV per atom: 0.461
Magnetic moment in μB/atom: 0.69
Theoretical density in g/cm3: 5.46
ΔE_f (raw) in eV per atom: 0.0228
Space-group type: P4/mmm, No. 123
Calculated total energy in eV per atom: -26.553

***

[17]
The following is a SCAN calculation of a PBEsol-optimized structure of CaMnO2, from Alexandria via LeMat-Bulk.

The structure in POSCAR format:
```
CaMnO2
1.0
-1.334 -0.915 -3.078
-0.691 -3.341 -0.671
-6.172 -0.719 0.923
Mn O Ca
1 2 1
direct
0.000 0.000 0.000
0.100 0.100 0.700
0.900 0.900 0.300
0.500 0.500 0.500
```

Values from the calculation:
DOS at the Fermi energy in states/eV per atom: 0.534
Magnetic moment in μB/atom: 1.19
Theoretical density in g/cm3: 3.38
ΔE_f (raw) in eV per atom: -2.3359
Space-group type: R-3m, No. 166
Calculated total energy in eV per atom: -12.431

***

[18]
The following is a SCAN calculation of a PBEsol-optimized structure of BeP2Cl, from Alexandria via LeMat-Bulk.

The structure in POSCAR format:
```
BeP2Cl
1.0
4.318 0.000 0.000
2.159 3.739 0.000
2.159 1.246 3.525
P Be Cl
2 1 1
direct
0.750 0.750 0.750
0.250 0.250 0.250
0.000 0.000 0.000
0.500 0.500 0.500
```

Values from the calculation:
DOS at the Fermi energy in states/eV per atom: 0.441
Magnetic moment in μB/atom: 0.00
Theoretical density in g/cm3: 3.10
Relative energy among the computed polymorphs in meV/atom: 801.2
ΔE_f (raw) in eV per atom: 1.0564
Space-group type: Fm-3m, No. 225
Calculated total energy in eV per atom: -7.226

***

[19]
The following is a SCAN calculation of a PBEsol-optimized structure of NbFe3H, from Alexandria via LeMat-Bulk.

The structure in POSCAR format:
```
NbFe3H
1.0
3.654 0.000 0.000
0.000 3.654 0.000
0.000 0.000 3.654
Fe H Nb
3 1 1
direct
0.500 0.000 0.000
0.000 0.500 0.000
0.000 0.000 0.500
0.000 0.000 0.000
0.500 0.500 0.500
```

Values from the calculation:
DOS at the Fermi energy in states/eV per atom: 0.493
Magnetic moment in μB/atom: 0.78
Theoretical density in g/cm3: 8.90
Space-group type: Pm-3m, No. 221
Calculated total energy in eV per atom: -18.106

***

[20]
The following is a SCAN calculation of a PBEsol-optimized structure of RbTaAgCl2, from Alexandria via LeMat-Bulk.

The structure in POSCAR format:
```
RbTaAgCl2
1.0
4.759 0.000 0.000
0.000 4.759 0.000
0.000 0.000 7.919
Ag Ta Rb Cl
1 1 1 2
direct
0.500 0.500 0.500
0.000 0.000 0.000
0.000 0.000 0.500
0.500 0.000 0.000
0.000 0.500 0.000
```

Values from the calculation:
DOS at the Fermi energy in states/eV per atom: 0.303
Magnetic moment in μB/atom: 0.55
Theoretical density in g/cm3: 4.12
ΔE_f (raw) in eV per atom: 0.0931
Space-group type: P4/mmm, No. 123
Calculated total energy in eV per atom: -26.836